Entry from OQMD via LeMat-Bulk: Li2Au2O5 after structural relaxation (PBE).

a b c (Å): 3.445 3.445 7.992
angles (deg): 90.00 90.00 90.00
Fractional positions:
Li  0.000  0.000  0.237
Li  0.000  0.000  0.763
Au  0.500  0.500  0.000
Au  0.500  0.500  0.500
O  0.000  0.000  0.000
O  0.000  0.500  0.345
O  0.000  0.500  0.655
O  0.500  0.000  0.345
O  0.500  0.000  0.655

Output
- offset from the most stable computed form (meV/atom) = 70
- SG = No. 123

---

Entry from OQMD via LeMat-Bulk: LiAuO4 after structural relaxation (PBE).

a b c (Å): 5.023 10.505 11.547
angles (deg): 113.71 98.91 95.12
Fractional positions:
Li  0.000  0.000  0.000
Li  0.052  0.155  0.391
Li  0.242  0.853  0.633
Li  0.351  0.473  0.619
Li  0.405  0.798  0.926
Li  0.627  0.521  0.947
Li  0.840  0.054  0.714
Li  0.934  0.327  0.030
Au  0.318  0.958  0.454
Au  0.397  0.159  0.912
Au  0.480  0.440  0.193
Au  0.576  0.717  0.467
Au  0.661  0.124  0.163
Au  0.786  0.420  0.440
Au  0.858  0.695  0.722
Au  0.964  0.875  0.179
O  0.026  0.797  0.991
O  0.027  0.207  0.868
O  0.036  0.085  0.210
O  0.090  0.324  0.740
O  0.096  0.340  0.486
O  0.172  0.515  0.117
O  0.198  0.756  0.430
O  0.230  0.557  0.915
O  0.234  0.055  0.641
O  0.272  0.942  0.829
O  0.280  0.653  0.748
O  0.305  0.155  0.077
O  0.331  0.379  0.757
O  0.346  0.872  0.266
O  0.425  0.702  0.676
O  0.456  0.505  0.382
O  0.469  0.187  0.385
O  0.475  0.139  0.732
O  0.528  0.154  0.482
O  0.551  0.369  0.009
O  0.593  0.912  0.096
O  0.668  0.926  0.545
O  0.741  0.485  0.625
O  0.776  0.130  0.971
O  0.784  0.707  0.902
O  0.785  0.341  0.242
O  0.843  0.657  0.139
O  0.937  0.964  0.368
O  0.938  0.700  0.558
O  0.972  0.914  0.806
O  0.996  0.483  0.877
O  0.997  0.598  0.203

Output
- offset from the most stable computed form (meV/atom) = 0
- SG = No. 1

---

Entry from OQMD via LeMat-Bulk: LiAuO after structural relaxation (PBE).

a b c (Å): 6.434 6.223 5.664
angles (deg): 65.35 61.52 53.13
Fractional positions:
Li  0.004  0.004  0.746
Li  0.254  0.254  0.996
Li  0.746  0.746  0.004
Li  0.996  0.996  0.254
Au  0.000  0.500  0.500
Au  0.500  0.000  0.500
Au  0.500  0.500  0.000
Au  0.500  0.500  0.500
O  0.073  0.677  0.677
O  0.323  0.927  0.927
O  0.677  0.073  0.073
O  0.927  0.323  0.323

Output
- SG = No. 70

---

Entry from OQMD via LeMat-Bulk: LiAuO after structural relaxation (PBE).

a b c (Å): 5.663 5.663 6.214
angles (deg): 114.66 114.66 94.72
Fractional positions:
Li  0.005  0.254  0.009
Li  0.254  0.005  0.509
Li  0.746  0.995  0.491
Li  0.995  0.746  0.991
Au  0.000  0.500  0.500
Au  0.500  0.000  0.000
Au  0.500  0.500  0.000
Au  0.500  0.500  0.500
O  0.073  0.322  0.749
O  0.322  0.073  0.249
O  0.678  0.927  0.751
O  0.927  0.678  0.251

Output
- SG = No. 15

---

Entry from OQMD via LeMat-Bulk: LiPAuO after structural relaxation (PBE).

a b c (Å): 3.495 6.705 4.810
angles (deg): 90.00 90.00 90.00
Fractional positions:
Li  0.000  0.172  0.000
Li  0.000  0.828  0.500
P  0.000  0.447  0.538
P  0.000  0.553  0.038
Au  0.500  0.211  0.525
Au  0.500  0.789  0.025
O  0.500  0.106  0.052
O  0.500  0.894  0.552

Output
- offset from the most stable computed form (meV/atom) = 0
- SG = No. 26

---

Entry from OQMD via LeMat-Bulk: LiPAuO after structural relaxation (PBE).

a b c (Å): 4.011 4.011 9.043
angles (deg): 90.00 90.00 90.00
Fractional positions:
Li  0.250  0.750  0.000
Li  0.750  0.250  0.000
P  0.250  0.250  0.446
P  0.750  0.750  0.554
Au  0.250  0.250  0.181
Au  0.750  0.750  0.819
O  0.250  0.750  0.500
O  0.750  0.250  0.500

Output
- offset from the most stable computed form (meV/atom) = 270
- SG = No. 129

---

Entry from OQMD via LeMat-Bulk: LiPAuO after structural relaxation (PBE).

a b c (Å): 3.050 7.784 5.022
angles (deg): 90.00 90.00 90.00
Fractional positions:
Li  0.000  0.097  0.000
Li  0.000  0.903  0.500
P  0.500  0.382  0.880
P  0.500  0.618  0.380
Au  0.500  0.321  0.390
Au  0.500  0.679  0.890
O  0.000  0.116  0.365
O  0.000  0.884  0.865

Output
- offset from the most stable computed form (meV/atom) = 99
- SG = No. 26

---

Entry from OQMD via LeMat-Bulk: LiPAuO after structural relaxation (PBE).

a b c (Å): 4.023 4.023 6.577
angles (deg): 90.00 90.00 90.00
Fractional positions:
Li  0.250  0.250  0.099
Li  0.750  0.750  0.901
P  0.250  0.250  0.740
P  0.750  0.750  0.260
Au  0.250  0.750  0.500
Au  0.750  0.250  0.500
O  0.250  0.750  0.000
O  0.750  0.250  0.000

Output
- offset from the most stable computed form (meV/atom) = 140
- SG = No. 129

---

Entry from OQMD via LeMat-Bulk: LiPbAuO3 after structural relaxation (PBE).

a b c (Å): 11.060 3.291 9.110
angles (deg): 90.00 90.00 90.00
Fractional positions:
Li  0.224  0.250  0.154
Li  0.276  0.750  0.654
Li  0.724  0.250  0.346
Li  0.776  0.750  0.846
Pb  0.043  0.250  0.840
Pb  0.457  0.750  0.340
Pb  0.543  0.250  0.660
Pb  0.957  0.750  0.160
Au  0.116  0.250  0.472
Au  0.384  0.750  0.972
Au  0.616  0.250  0.028
Au  0.884  0.750  0.528
O  0.068  0.250  0.254
O  0.109  0.750  0.985
O  0.184  0.250  0.682
O  0.316  0.750  0.182
O  0.391  0.250  0.485
O  0.432  0.750  0.754
O  0.568  0.250  0.246
O  0.609  0.750  0.515
O  0.684  0.250  0.818
O  0.816  0.750  0.318
O  0.891  0.250  0.015
O  0.932  0.750  0.746

Output
- SG = No. 62

---

| no. | calculated total energy (hartree per atom) |
| --- | --- |
| 1 | -0.15071 |
| 2 | -0.16367 |
| 3 | -0.15743 |
| 4 | -0.15743 |
| 5 | -0.15785 |
| 6 | -0.14792 |
| 7 | -0.15422 |
| 8 | -0.15271 |
| 9 | -0.17944 |